Record 1
Entry from Alexandria: a crystal of BaCaSe relaxed with PBEsol (meta-GGA SCAN).

Structure (CIF):
```
data_BaCaSe
_chemical_formula_sum 'Ba1 Ca1 Se1'
_cell_length_a 4.253
_cell_length_b 4.253
_cell_length_c 7.365
_cell_angle_alpha 90.00
_cell_angle_beta 90.00
_cell_angle_gamma 120.00
_space_group_name_H-M_alt 'P 1'
_space_group_IT_number 1
loop_
_space_group_symop_operation_xyz
'x,y,z'
loop_
_atom_site_label
_atom_site_type_symbol
_atom_site_fract_x
_atom_site_fract_y
_atom_site_fract_z
Ba1 Ba 0.000 0.000 0.072
Se1 Se 0.667 0.333 0.358
Ca1 Ca 0.333 0.667 0.570
```

## Properties
The calculation puts the formation energy (no corrections) at -1.375 eV/atom. The space-group type is P3m1. Its excess energy over the best structure of this formula in the dataset is 0.0 kJ per mole of atoms.

Record 2
Entry from Alexandria: a crystal of Ba2CaSe relaxed with PBEsol (meta-GGA SCAN).

Structure (CIF):
```
data_Ba2CaSe
_chemical_formula_sum 'Ba2 Ca1 Se1'
_cell_length_a 4.383
_cell_length_b 4.383
_cell_length_c 11.237
_cell_angle_alpha 78.75
_cell_angle_beta 78.75
_cell_angle_gamma 60.00
_space_group_name_H-M_alt 'P 1'
_space_group_IT_number 1
loop_
_space_group_symop_operation_xyz
'x,y,z'
loop_
_atom_site_label
_atom_site_type_symbol
_atom_site_fract_x
_atom_site_fract_y
_atom_site_fract_z
Ba1 Ba 0.727 0.727 0.820
Ca1 Ca 0.500 0.500 0.500
Ba2 Ba 0.273 0.273 0.180
Se1 Se 0.000 0.000 0.000
```

## Properties
The calculation puts the formation energy (no corrections) at -1.021 eV/atom. The space-group type is R-3m.

Record 3
Entry from Alexandria: a crystal of Ba2CaTiSe relaxed with PBEsol (meta-GGA SCAN).

Structure (CIF):
```
data_Ba2CaTiSe
_chemical_formula_sum 'Ba2 Ca1 Ti1 Se1'
_cell_length_a 4.816
_cell_length_b 6.427
_cell_length_c 6.427
_cell_angle_alpha 90.00
_cell_angle_beta 90.00
_cell_angle_gamma 90.00
_space_group_name_H-M_alt 'P 1'
_space_group_IT_number 1
loop_
_space_group_symop_operation_xyz
'x,y,z'
loop_
_atom_site_label
_atom_site_type_symbol
_atom_site_fract_x
_atom_site_fract_y
_atom_site_fract_z
Ti1 Ti 0.000 0.000 0.000
Se1 Se 0.500 0.000 0.000
Ba1 Ba 0.000 0.500 0.000
Ca1 Ca 0.500 0.500 0.500
Ba2 Ba 0.000 0.000 0.500
```

## Properties
The calculation puts the formation energy (no corrections) at 0.003 eV/atom. The space-group type is P4/mmm.

Record 4
Entry from Alexandria: a crystal of BaCaSi2 relaxed with PBEsol (meta-GGA SCAN).

Structure (CIF):
```
data_BaCaSi2
_chemical_formula_sum 'Ba1 Ca1 Si2'
_cell_length_a 3.970
_cell_length_b 4.672
_cell_length_c 6.334
_cell_angle_alpha 111.64
_cell_angle_beta 90.00
_cell_angle_gamma 90.00
_space_group_name_H-M_alt 'P 1'
_space_group_IT_number 1
loop_
_space_group_symop_operation_xyz
'x,y,z'
loop_
_atom_site_label
_atom_site_type_symbol
_atom_site_fract_x
_atom_site_fract_y
_atom_site_fract_z
Ca1 Ca 0.500 0.753 0.505
Si1 Si 0.500 0.073 0.147
Si2 Si 0.000 0.195 0.390
Ba1 Ba 0.000 0.479 0.957
```

## Properties
The calculation puts the formation energy (no corrections) at -0.465 eV/atom. The space-group type is Amm2. Its excess energy over the best structure of this formula in the dataset is 0.0 kJ per mole of atoms.

Record 5
Entry from Alexandria: a crystal of BaCaSi2 relaxed with PBEsol (meta-GGA SCAN).

Structure (CIF):
```
data_BaCaSi2
_chemical_formula_sum 'Ba1 Ca1 Si2'
_cell_length_a 3.946
_cell_length_b 3.946
_cell_length_c 6.837
_cell_angle_alpha 90.00
_cell_angle_beta 90.00
_cell_angle_gamma 90.00
_space_group_name_H-M_alt 'P 1'
_space_group_IT_number 1
loop_
_space_group_symop_operation_xyz
'x,y,z'
loop_
_atom_site_label
_atom_site_type_symbol
_atom_site_fract_x
_atom_site_fract_y
_atom_site_fract_z
Ca1 Ca 0.500 0.500 0.500
Si1 Si 0.000 0.000 0.328
Si2 Si 0.000 0.000 0.672
Ba1 Ba 0.500 0.500 0.000
```

## Properties
The calculation puts the formation energy (no corrections) at -0.330 eV/atom. The space-group type is P4/mmm. Its excess energy over the best structure of this formula in the dataset is 13.0 kJ per mole of atoms.

Record 6
Entry from Alexandria: a crystal of BaCa2Si relaxed with PBEsol (meta-GGA SCAN).

Structure (CIF):
```
data_BaCa2Si
_chemical_formula_sum 'Ba1 Ca2 Si1'
_cell_length_a 4.747
_cell_length_b 4.747
_cell_length_c 8.521
_cell_angle_alpha 73.82
_cell_angle_beta 73.82
_cell_angle_gamma 60.00
_space_group_name_H-M_alt 'P 1'
_space_group_IT_number 1
loop_
_space_group_symop_operation_xyz
'x,y,z'
loop_
_atom_site_label
_atom_site_type_symbol
_atom_site_fract_x
_atom_site_fract_y
_atom_site_fract_z
Si1 Si 0.500 0.500 0.500
Ba1 Ba 0.000 0.000 0.000
Ca1 Ca 0.212 0.212 0.364
Ca2 Ca 0.788 0.788 0.636
```

## Properties
The calculation puts the formation energy (no corrections) at -0.116 eV/atom. The space-group type is R-3m.